Record 1
A plane-wave DFT calculation with GGA-PBE was carried out for a geometry-optimized GdHoCu2Si2 structure.

a b c (Å): 4.146 4.146 7.537
angles (deg): 90.00 90.00 120.00
Atoms (fractional coordinates):
Ho: 0.000 0.000 0.500
Si: 0.667 0.333 0.254
Gd: 0.000 0.000 0.000
Si: 0.333 0.667 0.746
Cu: 0.667 0.333 0.746
Cu: 0.333 0.667 0.254

Results
E, eV per atom: -5.25
Symmetry: No. 164

***

Record 2
A plane-wave DFT calculation with GGA-PBE was carried out for a geometry-optimized Gd2HoCu4Si4 structure.

a b c (Å): 7.887 7.887 7.887
angles (deg): 149.44 131.14 58.73
Atoms (fractional coordinates):
Si: 0.686 0.500 0.186
Cu: 0.978 0.668 0.310
Si: 0.314 0.500 0.814
Si: 0.215 0.215 0.000
Gd: 0.630 0.130 0.500
Gd: 0.370 0.870 0.500
Ho: 0.000 0.000 0.000
Cu: 0.022 0.332 0.690
Si: 0.785 0.785 0.000
Cu: 0.358 0.668 0.690
Cu: 0.642 0.332 0.310

Results
E, eV per atom: -5.21
Symmetry: No. 71

***

Record 3
A plane-wave DFT calculation with GGA-PBE was carried out for a geometry-optimized GdHoCu2Sn structure.

a b c (Å): 3.621 7.207 7.207
angles (deg): 34.16 90.00 90.00
Atoms (fractional coordinates):
Cu: 0.500 0.800 0.800
Ho: 0.000 0.368 0.368
Sn: 0.500 0.999 0.999
Cu: 0.500 0.202 0.202
Gd: 0.000 0.631 0.631

Results
E, eV per atom: -4.60
Symmetry: No. 38

***

Record 4
A plane-wave DFT calculation with GGA-PBE was carried out for a geometry-optimized GdHo2Cu4Sn4 structure.

a b c (Å): 8.447 8.447 8.447
angles (deg): 149.30 131.31 58.67
Atoms (fractional coordinates):
Sn: 0.298 0.500 0.798
Cu: 0.359 0.671 0.688
Sn: 0.784 0.784 0.000
Cu: 0.983 0.671 0.312
Ho: 0.369 0.869 0.500
Ho: 0.631 0.131 0.500
Cu: 0.641 0.329 0.312
Sn: 0.702 0.500 0.202
Gd: 0.000 0.000 0.000
Sn: 0.216 0.216 0.000
Cu: 0.017 0.329 0.688

Results
E, eV per atom: -4.57
Symmetry: No. 71

***

Record 5
A plane-wave DFT calculation with GGA-PBE was carried out for a geometry-optimized GdHoCuTe3 structure.

a b c (Å): 7.396 7.396 11.123
angles (deg): 90.00 90.00 147.42
Atoms (fractional coordinates):
Ho: 0.500 0.500 0.500
Te: 0.148 0.852 0.932
Ho: 0.500 0.500 0.000
Gd: 0.728 0.272 0.750
Cu: 0.971 0.029 0.250
Te: 0.852 0.148 0.068
Cu: 0.029 0.971 0.750
Te: 0.595 0.405 0.250
Te: 0.852 0.148 0.432
Te: 0.405 0.595 0.750
Gd: 0.272 0.728 0.250
Te: 0.148 0.852 0.568

Results
E, eV per atom: -4.74
Symmetry: No. 63

***

Record 6
A plane-wave DFT calculation with GGA-PBE was carried out for a geometry-optimized GdHoTlCu2 structure.

a b c (Å): 3.620 7.345 7.345
angles (deg): 33.68 90.00 90.00
Atoms (fractional coordinates):
Ho: 0.000 0.635 0.635
Gd: 0.000 0.366 0.366
Cu: 0.500 0.796 0.796
Cu: 0.500 0.203 0.203
Tl: 0.500 0.000 0.000

Results
E, eV per atom: -4.12
Symmetry: No. 38

***

Question: What is the E in the first record?
Answer: -5.25 eV per atom

***

Question: Number 1 is which compound?
Answer: GdHoCu2Si2